No. 1
# NdBeCu3

A relaxed NdBeCu3 crystal (GGA-PBE, the Alexandria database).

The space group is Pm-3m (No. 221) and the conventional cell measures 4.321, 4.321 and 4.321 Å, with angles of 90.00, 90.00 and 90.00 degrees. Symmetry generates all atoms from Nd at (0.000, 0.000, 0.000), Be at (0.500, 0.500, 0.500) and Cu at (0.000, 0.500, 0.500).

For the density of states at the Fermi level, the calculation gives 0.526 states/eV/atom. The energy relative to the elements is -11 meV/atom.

***

No. 2
# NdBe5Cu7

A relaxed NdBe5Cu7 crystal (GGA-PBE, the Alexandria database).

The space group is Imm2 (No. 44) and the conventional cell measures 4.532, 8.292 and 8.265 Å, with angles of 90.00, 90.00 and 90.00 degrees. Symmetry generates all atoms from Nd at (0.000, 0.000, 0.000), Be at (0.000, 0.500, 0.747), Be at (0.249, 0.246, 0.254), Cu at (0.000, 0.000, 0.349), Cu at (0.000, 0.000, 0.647), Cu at (0.000, 0.277, 0.508), Cu at (0.000, 0.353, 0.998) and Cu at (0.000, 0.500, 0.272).

For the density of states at the Fermi level, the calculation gives 0.393 states/eV/atom. The energy relative to the elements is -89 meV/atom.

***

No. 3
# Nd2BeCu

A relaxed Nd2BeCu crystal (GGA-PBE, the Alexandria database).

The space group is P4/mmm (No. 123) and the conventional cell measures 3.574, 3.574 and 7.074 Å, with angles of 90.00, 90.00 and 90.00 degrees. Symmetry generates all atoms from Nd at (0.000, 0.000, 0.243), Be at (0.500, 0.500, 0.000) and Cu at (0.500, 0.500, 0.500).

For the density of states at the Fermi level, the calculation gives 0.821 states/eV/atom. The energy relative to the elements is 27 meV/atom. The offset from the most stable computed form is 0 meV per atom.

***

No. 4
# NdBe2Cu9

A relaxed NdBe2Cu9 crystal (GGA-PBE, the Alexandria database).

The space group is I4_1/amd (No. 141, origin choice 2) and the conventional cell measures 9.924, 9.924 and 6.378 Å, with angles of 90.00, 90.00 and 90.00 degrees. Symmetry generates all atoms from Nd at (0.000, 0.250, 0.375), Be at (0.000, 0.000, 0.000), Cu at (0.000, 0.250, 0.875) and Cu at (0.123, 0.047, 0.693).

For the density of states at the Fermi level, the calculation gives 0.398 states/eV/atom. The energy relative to the elements is -107 meV/atom.

***

No. 5
# Nd2Be3CuNi12

A relaxed Nd2Be3CuNi12 crystal (GGA-PBE, the Alexandria database).

The space group is R-3m (No. 166, hexagonal axes) and the conventional cell measures 7.4207, 7.4207 and 16.2417 Å, with angles of 90.00, 90.00 and 120.00 degrees. Symmetry generates all atoms from Nd at (0.0000, 0.0000, 0.1092), Be at (0.0000, 0.5000, 0.0000), Cu at (0.0000, 0.0000, 0.5000), Ni at (0.0077, 0.5038, 0.8741) and Ni at (0.0453, 0.5227, 0.3655).

For the density of states at the Fermi level, the calculation gives 0.546 states/eV/atom. The energy relative to the elements is 273 meV/atom.

***

No. 6
# Nd2BeCuPd6

A relaxed Nd2BeCuPd6 crystal (GGA-PBE, the Alexandria database).

The space group is C2/m (No. 12) and the conventional cell measures 10.899, 5.595 and 7.676 Å, with angles of 90.00, 127.12 and 90.00 degrees. Symmetry generates all atoms from Nd at (0.224, 0.000, 0.194), Be at (0.000, 0.000, 0.500), Cu at (0.000, 0.500, 0.000), Pd at (0.008, 0.251, 0.730) and Pd at (0.247, 0.000, 0.620).

For the density of states at the Fermi level, the calculation gives 0.340 states/eV/atom. The energy relative to the elements is -555 meV/atom.